# 1
Cs2MgPbO4 | Alexandria | GGA-PBE | optimized geometry; space group = I-4 (82); ΔE_f (raw) = -1.5224 eV per atom
1.0
-3.159 3.159 4.287
3.159 -3.159 4.287
3.159 3.159 -4.287
Cs Mg Pb O
2 1 1 4
Direct
0.000 0.000 0.000
0.750 0.250 0.500
0.500 0.500 0.000
0.250 0.750 0.500
0.264 0.136 0.637
0.373 0.736 0.873
0.499 0.627 0.363
0.864 0.501 0.127

# 2
PrY4Pd5 | Alexandria | GGA-PBE | optimized geometry; space group = P4/mmm (123); raw total energy = -6.50 eV/atom
1.0
3.505 0.000 0.000
0.000 3.505 0.000
0.000 0.000 18.106
Pr Y Pd
1 4 5
Direct
0.000 0.000 0.000
0.000 0.000 0.205
0.000 0.000 0.402
0.000 0.000 0.598
0.000 0.000 0.795
0.500 0.500 0.111
0.500 0.500 0.304
0.500 0.500 0.500
0.500 0.500 0.696
0.500 0.500 0.889